DFT (GGA+U) results for CsAcMoF6 after structural relaxation.

The structure in POSCAR format:
```
CsAcMoF6
1.0
8.4392 0.0000 0.0000
0.0000 8.0274 0.0000
-4.2196 -4.0137 5.5398
Cs Ac Mo F
2 2 2 12
Cartesian
4.2196 2.0068 3.8807 Cs
0.0000 2.0068 1.6591 Cs
2.1098 -2.0068 2.7699 Ac
-2.1098 -2.0068 2.7699 Ac
4.2196 4.0137 0.0000 Mo
4.2196 0.0000 0.0000 Mo
0.0000 2.0068 4.7323 F
4.2196 -2.0068 4.0369 F
5.9244 -0.0530 1.3664 F
2.5147 4.0667 1.3664 F
2.5147 -0.0530 1.3664 F
5.9244 4.0667 1.3664 F
4.2196 2.0068 0.8075 F
0.0000 6.0205 1.5029 F
-1.7048 4.0667 4.1734 F
1.7049 -0.0530 4.1734 F
1.7049 4.0667 4.1734 F
-1.7048 -0.0530 4.1734 F
```

Output
Uncorrected energy in eV/f.u.: -50.357
Total magnetization in μB per formula unit: 1.997
Space-group type: Imma, No. 74